(1)
Entry from OQMD: crystalline NbGeSb at its relaxed geometry (PBE).

The structure belongs to space group F-43m (No. 216); the cell edges are 6.559, 6.559 and 6.559 Å and the angles 90.00°, 90.00° and 90.00°. Symmetry generates all atoms from Nb at (0.000, 0.000, 0.000), Ge at (0.250, 0.250, 0.250) and Sb at (0.250, 0.250, 0.750).

The value obtained for the total energy is -17.770 eV/f.u. The total moment comes out at 0.102 Bohr magnetons per cell.

(2)
Entry from OQMD: crystalline SrTcAsO at its relaxed geometry (PBE).

The structure belongs to space group P4/nmm (No. 129, origin choice 2); the cell edges are 4.096, 4.096 and 9.537 Å and the angles 90.00°, 90.00° and 90.00°. Symmetry generates all atoms from Sr at (0.250, 0.250, 0.125), Tc at (0.250, 0.750, 0.500), As at (0.250, 0.250, 0.650) and O at (0.250, 0.750, 0.000).

The value obtained for the total energy is -26.003 eV/f.u. As for the polymorph energy (0 for the lowest one): 11.9 meV/atom. The total moment comes out at 1.640 Bohr magnetons per cell.

(3)
Entry from OQMD: crystalline GdBiN2O at its relaxed geometry (PBE).

The structure belongs to space group Pnma (No. 62); the cell edges are 5.909, 8.497 and 5.704 Å and the angles 90.00°, 90.00° and 90.00°. Symmetry generates all atoms from Gd at (0.064, 0.250, 0.025), Bi at (0.000, 0.000, 0.500), N at (0.198, 0.574, 0.805) and O at (0.062, 0.750, 0.357).

The value obtained for the total energy is -33.396 eV/f.u. The total moment comes out at 0.007 Bohr magnetons per cell.

(4)
Entry from OQMD: crystalline LuSnPd at its relaxed geometry (PBE).

The structure belongs to space group Imm2 (No. 44); the cell edges are 4.619, 21.055 and 7.923 Å and the angles 90.00°, 90.00° and 90.00°. Symmetry generates all atoms from Lu at (0.000, 0.000, 0.000), Lu at (0.000, 0.166, 0.928), Lu at (0.000, 0.332, 0.996), Lu at (0.000, 0.500, 0.931), Sn at (0.000, 0.094, 0.302), Sn at (0.000, 0.262, 0.621), Sn at (0.000, 0.430, 0.304), Pd at (0.000, 0.074, 0.636), Pd at (0.000, 0.233, 0.291) and Pd at (0.000, 0.397, 0.633).

The value obtained for the total energy is -16.319 eV/f.u. The total moment comes out at 0.020 Bohr magnetons per cell.